DFT (GGA-PBE) results for HfZn2Fe after structural relaxation.

Lattice parameters (Å, degrees): 3.184 3.184 6.074 90.00 90.00 90.00
Space group P4/mmm (No. 123)
Unique sites:
1 Hf 0.000 0.000 0.000 x1
2 Zn 0.500 0.500 0.288 x2
3 Fe 0.000 0.000 0.500 x1

Output
- formation energy (eV per formula unit) = -0.06
- crystal system = tetragonal
- spin magnetization (μB per cell) = 2.3
- calculated density (g/cm³) = 9.84
- E (eV/atom) = -5.257
- energy relative to the lowest polymorph listed for this composition (eV per atom) = 0.000